[1]
Below is an optimized crystal structure of YTcSb2Te, with properties calculated at the PBEsol level.

Unit cell a=5.643 b=5.643 c=5.611 alpha=90.00 beta=90.00 gamma=90.00
Positions (direct):
Y 0.000 0.000 0.000
Tc 0.500 0.500 0.500
Sb 0.000 0.500 0.000
Sb 0.500 0.000 0.000
Te 0.000 0.000 0.500

Values from the calculation:
total energy: -24.77 eV per cell
formation energy without anion corrections: 1.19 eV per atom
space-group type: P4/mmm (123)

[2]
Below is an optimized crystal structure of Mg4SiTe, with properties calculated at the PBEsol level.

Unit cell a=5.717 b=5.717 c=5.717 alpha=60.00 beta=60.00 gamma=60.00
Positions (direct):
Mg 0.125 0.125 0.125
Mg 0.125 0.125 0.624
Mg 0.125 0.624 0.125
Mg 0.624 0.125 0.125
Si 0.500 0.500 0.500
Te 0.750 0.750 0.750

Values from the calculation:
total energy: -15.12 eV per cell
formation energy without anion corrections: 0.17 eV per atom
space-group type: F-43m (216)

[3]
Below is an optimized crystal structure of ScZnHg, with properties calculated at the PBEsol level.

Unit cell a=5.990 b=5.990 c=5.990 alpha=149.35 beta=149.35 gamma=43.90
Positions (direct):
Sc 0.000 0.000 0.000
Zn 0.338 0.338 0.000
Hg 0.681 0.681 0.000

Values from the calculation:
total energy: -9.68 eV per cell
space-group type: I4mm (107)
formation energy: -0.307 eV/atom

[4]
Below is an optimized crystal structure of MnCu, with properties calculated at the PBEsol level.

Unit cell a=2.432 b=2.432 c=4.183 alpha=90.00 beta=90.00 gamma=112.25
Positions (direct):
Mn 0.000 0.000 0.000
Cu 0.500 0.500 0.500

Values from the calculation:
total energy: -13.38 eV per cell
space-group type: Cmmm (65)
formation energy: 0.356 eV/atom

[5]
Below is an optimized crystal structure of KLi2Si, with properties calculated at the PBEsol level.

Unit cell a=2.932 b=4.141 c=7.468 alpha=90.00 beta=90.00 gamma=90.00
Positions (direct):
K 0.000 0.000 0.000
Li 0.500 0.500 0.342
Li 0.500 0.500 0.658
Si 0.000 0.000 0.500

Values from the calculation:
total energy: -10.39 eV per cell
formation energy without anion corrections: 0.11 eV per atom
space-group type: Pmmm (47)

[6]
Below is an optimized crystal structure of Ni2OsCl, with properties calculated at the PBEsol level.

Unit cell a=6.193 b=6.193 c=6.193 alpha=154.97 beta=143.95 gamma=44.39
Positions (direct):
Ni 0.000 0.000 0.000
Ni 0.621 0.121 0.500
Os 0.184 0.684 0.500
Cl 0.363 0.363 0.000

Values from the calculation:
total energy: -24.27 eV per cell
formation energy without anion corrections: 0.57 eV per atom
space-group type: Imm2 (44)

[7]
Below is an optimized crystal structure of Sr2CrHg, with properties calculated at the PBEsol level.

Unit cell a=5.335 b=5.335 c=5.335 alpha=60.00 beta=60.00 gamma=60.00
Positions (direct):
Sr 0.000 0.000 0.000
Sr 0.250 0.250 0.250
Cr 0.750 0.750 0.750
Hg 0.500 0.500 0.500

Values from the calculation:
total energy: -13.24 eV per cell
space-group type: F-43m (216)
formation energy: 0.312 eV/atom

[8]
Below is an optimized crystal structure of Ba4Ga4SnSe12, with properties calculated at the PBEsol level.

Unit cell a=13.658 b=13.658 c=6.424 alpha=90.00 beta=90.00 gamma=90.00
Positions (direct):
Ba 0.020 0.307 0.454
Ba 0.193 0.480 0.954
Ba 0.307 0.980 0.546
Ba 0.480 0.807 0.046
Ba 0.520 0.193 0.046
Ba 0.693 0.020 0.546
Ba 0.807 0.520 0.954
Ba 0.980 0.693 0.454
Ga 0.142 0.756 0.950
Ga 0.244 0.142 0.050
Ga 0.256 0.642 0.450
Ga 0.358 0.256 0.550
Ga 0.642 0.744 0.550
Ga 0.744 0.358 0.450
Ga 0.756 0.858 0.050
Ga 0.858 0.244 0.950
Sn 0.000 0.000 0.000
Sn 0.500 0.500 0.500
Se 0.013 0.640 0.957
Se 0.092 0.894 0.737
Se 0.106 0.092 0.263
Se 0.140 0.513 0.457
Se 0.194 0.794 0.300
Se 0.206 0.194 0.700
Se 0.294 0.694 0.800
Se 0.306 0.294 0.200
Se 0.360 0.013 0.043
Se 0.394 0.592 0.237
Se 0.408 0.394 0.763
Se 0.487 0.140 0.543
Se 0.513 0.860 0.543
Se 0.592 0.606 0.763
Se 0.606 0.408 0.237
Se 0.640 0.987 0.043
Se 0.694 0.706 0.200
Se 0.706 0.306 0.800
Se 0.794 0.806 0.700
Se 0.806 0.206 0.300
Se 0.860 0.487 0.457
Se 0.894 0.908 0.263
Se 0.908 0.106 0.737
Se 0.987 0.360 0.957

Values from the calculation:
total energy: -193.62 eV per cell
formation energy without anion corrections: -1.16 eV per atom
space-group type: P-42_1c (114)

Q: Look up the total energy of the sixth one.
A: -24.27 eV per cell

Q: Which of these has the lowest total energy?
A: Ba4Ga4SnSe12

Q: The highest total energy belongs to which entry?
A: ScZnHg